Below is a relaxed structure of AcCoCl6, with properties calculated at the GGA-PBE level.

M_tot = 0.11 Bohr magnetons per cell
calculated density = 3.96 g cm⁻³
formation energy without anion corrections = -10.97 eV/f.u.

a b c (Å): 6.393 6.392 6.964
angles (deg): 62.67 62.66 59.98
Each line ends with the local moment (μB).
Fractional coordinates of all 8 atoms:
Ac 0.500 0.500 0.500  0.00
Co 0.000 0.000 0.000  -0.10
Cl 0.043 0.379 0.779  0.00
Cl 0.800 0.043 0.779  0.00
Cl 0.621 0.200 0.221  0.00
Cl 0.200 0.957 0.221  0.00
Cl 0.957 0.621 0.221  0.00
Cl 0.379 0.800 0.779  0.00